# 1
# Li2Ni6PC, optimized geometry, DFT PBE
data_Li2Ni6PC
_chemical_formula_sum 'Li4 Ni12 P2 C2'
_space_group_name_H-M_alt 'P m m n'
_space_group_IT_number 59
_cell_length_a 5.1035
_cell_length_b 7.6555
_cell_length_c 6.2106
_cell_angle_alpha 90.00
_cell_angle_beta 90.00
_cell_angle_gamma 90.00
loop_
_space_group_symop_operation_xyz
'x,y,z'
'-x,-y,-z'
'-x+1/2,-y+1/2,z'
'x+1/2,y+1/2,-z'
'x+1/2,-y,-z'
'-x+1/2,y,z'
'-x,y+1/2,-z'
'x,-y+1/2,z'
loop_
_atom_site_label
_atom_site_fract_x
_atom_site_fract_y
_atom_site_fract_z
_atom_site_occupancy
Li1 0.2500 0.0476 0.1956 1
Ni1 0.0137 0.7500 0.1099 1
Ni2 0.0156 0.7500 0.5160 1
Ni3 0.2500 0.0072 0.6558 1
P1 0.2500 0.7500 0.8216 1
C1 0.2500 0.2500 0.6878 1
# Crystal system: orthorhombic

# 2
# LiNi2PC, optimized geometry, DFT PBE
data_LiNi2PC
_chemical_formula_sum 'Li1 Ni2 P1 C1'
_space_group_name_H-M_alt 'P 4/m m m'
_space_group_IT_number 123
_space_group_name_Hall '-P 4 2'
_cell_length_a 4.0038
_cell_length_b 4.0038
_cell_length_c 3.4052
_cell_angle_alpha 90.00
_cell_angle_beta 90.00
_cell_angle_gamma 90.00
loop_
_atom_site_label
_atom_site_fract_x
_atom_site_fract_y
_atom_site_fract_z
_atom_site_occupancy
Li1 0.0000 0.0000 0.0000 1
Ni1 0.0000 0.5000 0.0000 1
P1 0.5000 0.5000 0.5000 1
C1 0.0000 0.0000 0.5000 1
# Crystal system: tetragonal

# 3
# Li2NiPbC, optimized geometry, DFT PBE
data_Li2NiPbC
_chemical_formula_sum 'Li2 Ni1 Pb1 C1'
_space_group_name_H-M_alt 'P 4/m m m'
_space_group_IT_number 123
_space_group_name_Hall '-P 4 2'
_cell_length_a 4.0014
_cell_length_b 4.0014
_cell_length_c 4.7609
_cell_angle_alpha 90.00
_cell_angle_beta 90.00
_cell_angle_gamma 90.00
loop_
_atom_site_label
_atom_site_fract_x
_atom_site_fract_y
_atom_site_fract_z
_atom_site_occupancy
Li1 0.0000 0.5000 0.0000 1
Ni1 0.0000 0.0000 0.5000 1
Pb1 0.5000 0.5000 0.5000 1
C1 0.5000 0.5000 0.0000 1
# Crystal system: tetragonal

# 4
# LiNi2PdC, optimized geometry, DFT PBE
data_LiNi2PdC
_chemical_formula_sum 'Li1 Ni2 Pd1 C1'
_space_group_name_H-M_alt 'P 4/m m m'
_space_group_IT_number 123
_space_group_name_Hall '-P 4 2'
_cell_length_a 3.6610
_cell_length_b 3.6610
_cell_length_c 4.2174
_cell_angle_alpha 90.00
_cell_angle_beta 90.00
_cell_angle_gamma 90.00
loop_
_atom_site_label
_atom_site_fract_x
_atom_site_fract_y
_atom_site_fract_z
_atom_site_occupancy
Li1 0.0000 0.0000 0.0000 1
Ni1 0.0000 0.5000 0.5000 1
Pd1 0.5000 0.5000 0.0000 1
C1 0.0000 0.0000 0.5000 1
# Crystal system: tetragonal
# Polymorph energy (0 for the lowest one) (kJ/mol of atoms): 6.4

# 5
# LiNi2PdC, optimized geometry, DFT PBE
data_LiNi2PdC
_chemical_formula_sum 'Li1 Ni2 Pd1 C1'
_space_group_name_H-M_alt 'P 4/m m m'
_space_group_IT_number 123
_space_group_name_Hall '-P 4 2'
_cell_length_a 3.7236
_cell_length_b 3.7236
_cell_length_c 4.2074
_cell_angle_alpha 90.00
_cell_angle_beta 90.00
_cell_angle_gamma 90.00
loop_
_atom_site_label
_atom_site_fract_x
_atom_site_fract_y
_atom_site_fract_z
_atom_site_occupancy
Li1 0.0000 0.0000 0.0000 1
Ni1 0.0000 0.5000 0.5000 1
Pd1 0.5000 0.5000 0.0000 1
C1 0.5000 0.5000 0.5000 1
# Crystal system: tetragonal
# Polymorph energy (0 for the lowest one) (kJ/mol of atoms): 0.0

# 6
# LiNiRh2C, optimized geometry, DFT PBE
data_LiNiRh2C
_chemical_formula_sum 'Li1 Ni1 Rh2 C1'
_space_group_name_H-M_alt 'P 4/m m m'
_space_group_IT_number 123
_space_group_name_Hall '-P 4 2'
_cell_length_a 4.0350
_cell_length_b 4.0350
_cell_length_c 3.7562
_cell_angle_alpha 90.00
_cell_angle_beta 90.00
_cell_angle_gamma 90.00
loop_
_atom_site_label
_atom_site_fract_x
_atom_site_fract_y
_atom_site_fract_z
_atom_site_occupancy
Li1 0.0000 0.0000 0.0000 1
Ni1 0.5000 0.5000 0.0000 1
Rh1 0.0000 0.5000 0.5000 1
C1 0.5000 0.5000 0.5000 1
# Crystal system: tetragonal

# 7
# LiNi2RhC, optimized geometry, DFT PBE
data_LiNi2RhC
_chemical_formula_sum 'Li1 Ni2 Rh1 C1'
_space_group_name_H-M_alt 'P 4/m m m'
_space_group_IT_number 123
_space_group_name_Hall '-P 4 2'
_cell_length_a 3.7561
_cell_length_b 3.7561
_cell_length_c 4.0110
_cell_angle_alpha 90.00
_cell_angle_beta 90.00
_cell_angle_gamma 90.00
loop_
_atom_site_label
_atom_site_fract_x
_atom_site_fract_y
_atom_site_fract_z
_atom_site_occupancy
Li1 0.0000 0.0000 0.0000 1
Ni1 0.0000 0.5000 0.5000 1
Rh1 0.5000 0.5000 0.0000 1
C1 0.5000 0.5000 0.5000 1
# Crystal system: tetragonal

# 8
# LiNiRhC, optimized geometry, DFT PBE
data_LiNiRhC
_chemical_formula_sum 'Li4 Ni4 Rh4 C4'
_space_group_name_H-M_alt 'F -4 3 m'
_space_group_IT_number 216
_space_group_name_Hall 'F -4 2 3'
_cell_length_a 5.3340
_cell_length_b 5.3340
_cell_length_c 5.3340
_cell_angle_alpha 90.00
_cell_angle_beta 90.00
_cell_angle_gamma 90.00
loop_
_atom_site_label
_atom_site_fract_x
_atom_site_fract_y
_atom_site_fract_z
_atom_site_occupancy
Li1 0.0000 0.0000 0.0000 1
Ni1 0.2500 0.2500 0.7500 1
Rh1 0.2500 0.2500 0.2500 1
C1 0.0000 0.0000 0.5000 1
# Crystal system: cubic

Number 1: energy of formation from the pure elements -1.7 eV/f.u., DOS at the Fermi energy 11.30 states/eV per cell. Number 2: energy of formation from the pure elements 6.6 eV/f.u., DOS at the Fermi energy 3.78 states/eV per cell. Number 3: energy of formation from the pure elements 3.4 eV/f.u., DOS at the Fermi energy 0.67 states/eV per cell. Number 4: energy of formation from the pure elements 0.1 eV/f.u., DOS at the Fermi energy 1.73 states/eV per cell. Number 5: energy of formation from the pure elements -0.3 eV/f.u., DOS at the Fermi energy 3.94 states/eV per cell. Number 6: energy of formation from the pure elements -0.3 eV/f.u., DOS at the Fermi energy 5.65 states/eV per cell. Number 7: energy of formation from the pure elements -0.5 eV/f.u., DOS at the Fermi energy 0.45 states/eV per cell. Number 8: energy of formation from the pure elements 2.2 eV/f.u., DOS at the Fermi energy 6.99 states/eV per cell.